Record 1
A plane-wave DFT calculation with GGA-PBE was carried out for a geometry-optimized Ba4SrTc3O12 structure.

a b c (Å): 7.256 7.256 7.256
angles (deg): 109.47 109.47 109.47
Last column: magnetic moment on the atom in μB.
Fractional positions:
1 O 0.750 0.500 0.250  -0.01
2 O 0.250 0.750 0.500  -0.01
3 O 0.750 0.250 0.500  -0.01
4 O 0.500 0.750 0.250  -0.01
5 O 0.250 0.500 0.750  -0.01
6 O 0.725 0.725 0.000  0.03
7 O 0.000 0.725 0.725  0.03
8 O 0.275 0.275 0.000  0.03
9 O 0.000 0.275 0.275  0.03
10 O 0.725 0.000 0.725  0.03
11 O 0.275 0.000 0.275  0.03
12 O 0.500 0.250 0.750  -0.01
13 Ba 0.500 0.000 0.000  0.01
14 Ba 0.000 0.500 0.000  0.01
15 Ba 0.500 0.500 0.500  0.01
16 Ba 0.000 0.000 0.500  0.01
17 Tc 0.000 0.500 0.500  0.26
18 Tc 0.500 0.500 0.000  0.26
19 Tc 0.500 0.000 0.500  0.26
20 Sr 0.000 0.000 0.000  0.01

## Properties
Space group ... No. 229
Formation energy from raw total energies ... -48.571 kcal/mol of atoms
Fermi-level density of states ... 0.296 states/eV/atom



Record 2
A plane-wave DFT calculation with GGA-PBE was carried out for a geometry-optimized BaSrTc2O8 structure.

a b c (Å): 6.014 6.014 7.951
angles (deg): 90.00 90.00 120.00
Last column: magnetic moment on the atom in μB.
Fractional positions:
1 O 0.168 0.339 0.722  0.05
2 O 0.339 0.170 0.278  0.05
3 O 0.333 0.667 0.014  0.08
4 O 0.830 0.168 0.278  0.05
5 O 0.170 0.832 0.722  0.05
6 O 0.832 0.661 0.278  0.05
7 O 0.661 0.830 0.722  0.05
8 O 0.667 0.333 0.986  0.08
9 Sr 0.000 0.000 0.500  0.01
10 Ba 0.000 0.000 0.000  0.01
11 Tc 0.333 0.667 0.791  0.65
12 Tc 0.667 0.333 0.209  0.65

## Properties
Space group ... No. 164
Formation energy from raw total energies ... -45.625 kcal/mol of atoms
Fermi-level density of states ... 0.879 states/eV/atom



Record 3
A plane-wave DFT calculation with GGA-PBE was carried out for a geometry-optimized BaSr2TcO6 structure.

a b c (Å): 5.870 6.377 8.613
angles (deg): 90.00 89.30 90.00
Last column: magnetic moment on the atom in μB.
Fractional positions:
1 O 0.112 0.416 0.794  0.02
2 O 0.853 0.749 0.910  0.01
3 O 0.888 0.584 0.206  0.02
4 O 0.279 0.655 0.032  0.02
5 O 0.647 0.249 0.590  0.01
6 O 0.779 0.845 0.532  0.02
7 O 0.221 0.155 0.468  0.02
8 O 0.721 0.345 0.968  0.02
9 O 0.388 0.916 0.706  0.02
10 O 0.612 0.084 0.294  0.02
11 O 0.147 0.251 0.090  0.01
12 O 0.353 0.751 0.410  0.01
13 Sr 0.511 0.546 0.769  0.01
14 Sr 0.989 0.046 0.731  0.01
15 Sr 0.489 0.454 0.231  0.01
16 Sr 0.011 0.954 0.269  0.01
17 Tc 0.500 0.000 0.500  0.77
18 Tc 0.000 0.500 0.000  0.77
19 Ba 0.000 0.500 0.500  0.01
20 Ba 0.500 0.000 0.000  0.01

## Properties
Space group ... No. 14
Formation energy from raw total energies ... -51.739 kcal/mol of atoms
Fermi-level density of states ... 0.533 states/eV/atom



> What is the Fermi-level density of states in the second record?

0.879 states/eV/atom